# Dy2SbSe (PBE, optimized geometry)
data_Dy2SbSe
_chemical_formula_sum 'Dy6 Sb3 Se3'
_symmetry_space_group_name_H-M 'R 3 m'
_symmetry_Int_Tables_number 160
_symmetry_space_group_name_Hall 'R 3 -2"'
_cell_length_a 4.1686
_cell_length_b 4.1686
_cell_length_c 21.6790
_cell_angle_alpha 90.00
_cell_angle_beta 90.00
_cell_angle_gamma 120.00
loop_
_atom_site_label
_atom_site_fract_x
_atom_site_fract_y
_atom_site_fract_z
Dy1 0.0000 0.0000 0.0000
Dy2 0.0000 0.0000 0.1787
Sb1 0.0000 0.0000 0.4224
Se1 0.0000 0.0000 0.5926
# Raw formation energy   -1.38 eV per atom
# E above lowest polymorph   69 meV/atom